The following is a PBE calculation of Cs2CaCdCl6 after structural relaxation, from Alexandria via LeMat-Bulk.

Cell: 6.7685 7.5737 7.5737 Å, 120.00 90.00 90.00°
Sites, in units of the cell vectors:
1 Cl 0.7582 0.1610 0.3221
2 Cl 0.2418 0.8390 0.1610
3 Cl 0.7582 0.6779 0.8390
4 Cl 0.2418 0.8390 0.6779
5 Cl 0.7582 0.1610 0.8390
6 Cl 0.2418 0.3221 0.1610
7 Ca 0.5000 0.0000 0.0000
8 Cs 0.7912 0.6667 0.3333
9 Cs 0.2088 0.3333 0.6667
10 Cd 0.0000 0.0000 0.0000

Output
Density of states at the Fermi level, states/eV/f.u.: 0.00
Polymorph energy (0 for the lowest one), meV/atom: 6
Uncorrected formation energy, eV/f.u.: -18.7
Final energy, eV/atom: -3.443
Total magnetization, μB per formula unit: 0.000

The following is a PBE calculation of Cs2CaCdCl6 after structural relaxation, from Alexandria via LeMat-Bulk.

Cell: 7.6308 7.6308 7.6305 Å, 60.00 60.00 90.00°
Sites, in units of the cell vectors:
1 Cs 0.7500 0.2500 0.5000
2 Cs 0.2500 0.7500 0.5000
3 Cd 0.0000 0.0000 0.0000
4 Cl 0.2466 0.2466 0.5067
5 Cl 0.7533 0.7533 0.0000
6 Cl 0.2467 0.2467 0.0000
7 Cl 0.2467 0.7533 0.0000
8 Cl 0.7534 0.7534 0.4933
9 Cl 0.7533 0.2467 0.0000
10 Ca 0.5000 0.5000 0.0000

Output
Density of states at the Fermi level, states/eV/f.u.: 0.00
Polymorph energy (0 for the lowest one), meV/atom: 0
Uncorrected formation energy, eV/f.u.: -18.8
Final energy, eV/atom: -3.449
Total magnetization, μB per formula unit: 0.000

The following is a PBE calculation of CsCaCdCl5 after structural relaxation, from Alexandria via LeMat-Bulk.

Cell: 7.9100 7.9100 10.1698 Å, 103.62 103.62 106.49°
Sites, in units of the cell vectors:
1 Cl 0.6261 0.7628 0.9281
2 Cl 0.3739 0.2372 0.0719
3 Cl 0.8993 0.3067 0.1011
4 Cl 0.2372 0.3739 0.5719
5 Cl 0.3067 0.8993 0.6011
6 Cl 0.6933 0.1007 0.3989
7 Cl 0.1007 0.6933 0.8989
8 Cl 0.0660 0.9340 0.2500
9 Cl 0.7628 0.6261 0.4281
10 Cl 0.9340 0.0660 0.7500
11 Ca 0.0000 0.0000 0.5000
12 Ca 0.0000 0.0000 0.0000
13 Cs 0.3370 0.6630 0.2500
14 Cs 0.6630 0.3370 0.7500
15 Cd 0.3113 0.6887 0.7500
16 Cd 0.6887 0.3113 0.2500

Output
Density of states at the Fermi level, states/eV/f.u.: 0.00
Uncorrected formation energy, eV/f.u.: -14.6
Final energy, eV/atom: -3.446
Total magnetization, μB per formula unit: 0.097

The following is a PBE calculation of Ca3CdCl2F6 after structural relaxation, from Alexandria via LeMat-Bulk.

Cell: 5.3753 7.0874 7.1977 Å, 119.49 80.90 90.00°
Sites, in units of the cell vectors:
1 Ca 0.5000 0.0000 0.5000
2 Ca 0.5000 0.5000 0.5000
3 Ca 0.0000 0.5000 0.0000
4 F 0.7145 0.3310 0.1431
5 F 0.7145 0.8121 0.1431
6 F 0.3469 0.1748 0.3496
7 F 0.2855 0.1879 0.8569
8 F 0.6531 0.8252 0.6504
9 F 0.2855 0.6690 0.8569
10 Cl 0.1699 0.6910 0.3819
11 Cl 0.8301 0.3090 0.6181
12 Cd 0.5000 0.0000 0.0000

Output
Density of states at the Fermi level, states/eV/f.u.: 0.00
Uncorrected formation energy, eV/f.u.: -36.3
Final energy, eV/atom: -4.843
Total magnetization, μB per formula unit: 0.087

The following is a PBE calculation of CaCdFe2Cl after structural relaxation, from Alexandria via LeMat-Bulk.

Cell: 4.3674 5.1322 4.3674 Å, 90.00 90.00 90.00°
Each line ends with the local moment (μB).
Sites, in units of the cell vectors:
1 Fe 0.5000 0.0000 0.0000  2.55
2 Fe 0.0000 0.0000 0.5000  2.11
3 Cl 0.0000 0.0000 0.0000  0.04
4 Ca 0.0000 0.5000 0.0000  -0.05
5 Cd 0.5000 0.5000 0.5000  0.00

Output
Density of states at the Fermi level, states/eV/f.u.: 4.07
Uncorrected formation energy, eV/f.u.: 1.8
Final energy, eV/atom: -3.979
Total magnetization, μB per formula unit: 4.380

The following is a PBE calculation of CaCdGeCl6 after structural relaxation, from Alexandria via LeMat-Bulk.

Cell: 6.3640 6.3640 12.2412 Å, 90.00 90.00 90.00°
Sites, in units of the cell vectors:
1 Cd 0.5000 0.5000 0.8339
2 Cd 0.0000 0.0000 0.3339
3 Cl 0.3019 0.3019 0.9949
4 Cl 0.8019 0.1981 0.4949
5 Cl 0.1994 0.8006 0.8366
6 Cl 0.8006 0.1994 0.8366
7 Cl 0.6981 0.6981 0.9949
8 Cl 0.3081 0.3081 0.6684
9 Cl 0.3006 0.3006 0.3366
10 Cl 0.8081 0.1919 0.1684
11 Cl 0.1919 0.8081 0.1684
12 Cl 0.6919 0.6919 0.6684
13 Cl 0.1981 0.8019 0.4949
14 Cl 0.6994 0.6994 0.3366
15 Ge 0.5000 0.5000 0.4991
16 Ge 0.0000 0.0000 0.9991
17 Ca 0.0000 0.0000 0.6672
18 Ca 0.5000 0.5000 0.1672

Output
Density of states at the Fermi level, states/eV/f.u.: 0.00
Uncorrected formation energy, eV/f.u.: -12.6
Final energy, eV/atom: -3.464
Total magnetization, μB per formula unit: 0.000